[1]
# PBE TiGa2Rh, relaxed
data_TiGa2Rh
_chemical_formula_sum 'Ti1 Ga2 Rh1'
_cell_length_a 2.9583
_cell_length_b 2.9583
_cell_length_c 8.2507
_cell_angle_alpha 90.00
_cell_angle_beta 90.00
_cell_angle_gamma 120.00
_space_group_name_H-M_alt 'P -3 m 1'
_space_group_IT_number 164
_space_group_name_Hall '-P 3 2"'
loop_
_atom_site_label
_atom_site_fract_x
_atom_site_fract_y
_atom_site_fract_z
_atom_site_occupancy
Ti1 0.0000 0.0000 0.0000 1
Ga1 0.3333 0.6667 0.2647 1
Rh1 0.0000 0.0000 0.5000 1
# N(E_F) = 3.5 states/eV per cell
# formation energy from the elements = -0.43 eV per atom

---

[2]
# PBE Ti3Ga6Rh, relaxed
data_Ti3Ga6Rh
_chemical_formula_sum 'Ti18 Ga36 Rh6'
_cell_length_a 10.2277
_cell_length_b 10.2277
_cell_length_c 10.8655
_cell_angle_alpha 90.00
_cell_angle_beta 90.00
_cell_angle_gamma 120.00
_space_group_name_H-M_alt 'R -3 c'
_space_group_IT_number 167
_space_group_name_Hall '-R 3 2"c'
loop_
_atom_site_label
_atom_site_fract_x
_atom_site_fract_y
_atom_site_fract_z
_atom_site_occupancy
Ti1 0.0000 0.4258 0.2500 1
Ga1 0.0565 0.2069 0.3543 1
Rh1 0.0000 0.0000 0.0000 1
# N(E_F) = 46.9 states/eV per cell
# formation energy from the elements = -0.39 eV per atom

---

[3]
# PBE Ti2GaRh6, relaxed
data_Ti2GaRh6
_chemical_formula_sum 'Ti4 Ga2 Rh12'
_cell_length_a 12.9342
_cell_length_b 5.8301
_cell_length_c 4.1360
_cell_angle_alpha 90.00
_cell_angle_beta 108.63
_cell_angle_gamma 90.00
_space_group_name_H-M_alt 'C 1 2/m 1'
_space_group_IT_number 12
loop_
_space_group_symop_operation_xyz
'x,y,z'
'-x,-y,-z'
'-x,y,-z'
'x,-y,z'
'x+1/2,y+1/2,z'
'-x+1/2,-y+1/2,-z'
'-x+1/2,y+1/2,-z'
'x+1/2,-y+1/2,z'
loop_
_atom_site_label
_atom_site_fract_x
_atom_site_fract_y
_atom_site_fract_z
_atom_site_occupancy
Ti1 0.1648 0.0000 0.1634 1
Ga1 0.0000 0.5000 0.5000 1
Rh1 0.0000 0.2517 0.0000 1
Rh2 0.1667 0.2493 0.6659 1
# N(E_F) = 14.0 states/eV per cell
# formation energy from the elements = -0.31 eV per atom

---

[4]
# PBE Ti5GaRh6, relaxed
data_Ti5GaRh6
_chemical_formula_sum 'Ti10 Ga2 Rh12'
_cell_length_a 4.1911
_cell_length_b 6.8013
_cell_length_c 12.4427
_cell_angle_alpha 90.00
_cell_angle_beta 90.00
_cell_angle_gamma 90.00
_space_group_name_H-M_alt 'I m m m'
_space_group_IT_number 71
_space_group_name_Hall '-I 2 2'
loop_
_atom_site_label
_atom_site_fract_x
_atom_site_fract_y
_atom_site_fract_z
_atom_site_occupancy
Ti1 0.0000 0.0000 0.0000 1
Ti2 0.0000 0.0000 0.3292 1
Ti3 0.0000 0.5000 0.3436 1
Ga1 0.0000 0.5000 0.0000 1
Rh1 0.0000 0.2339 0.5000 1
Rh2 0.0000 0.2599 0.1679 1
# N(E_F) = 21.8 states/eV per cell
# formation energy from the elements = -0.78 eV per atom

---

[5]
# PBE TiGa3Rh4, relaxed
data_TiGa3Rh4
_chemical_formula_sum 'Ti1 Ga3 Rh4'
_cell_length_a 4.1914
_cell_length_b 4.1914
_cell_length_c 6.4599
_cell_angle_alpha 90.00
_cell_angle_beta 90.00
_cell_angle_gamma 90.00
_space_group_name_H-M_alt 'P 4/m m m'
_space_group_IT_number 123
_space_group_name_Hall '-P 4 2'
loop_
_atom_site_label
_atom_site_fract_x
_atom_site_fract_y
_atom_site_fract_z
_atom_site_occupancy
Ti1 0.0000 0.0000 0.0000 1
Ga1 0.0000 0.0000 0.5000 1
Ga2 0.5000 0.5000 0.0000 1
Ga3 0.5000 0.5000 0.5000 1
Rh1 0.0000 0.5000 0.2529 1
# N(E_F) = 3.3 states/eV per cell
# formation energy from the elements = -0.78 eV per atom

---

[6]
# PBE Ti4GaRh, relaxed
data_Ti4GaRh
_chemical_formula_sum 'Ti4 Ga1 Rh1'
_cell_length_a 4.2437
_cell_length_b 4.2437
_cell_length_c 6.1897
_cell_angle_alpha 90.00
_cell_angle_beta 90.00
_cell_angle_gamma 90.00
_space_group_name_H-M_alt 'P 4/m m m'
_space_group_IT_number 123
_space_group_name_Hall '-P 4 2'
loop_
_atom_site_label
_atom_site_fract_x
_atom_site_fract_y
_atom_site_fract_z
_atom_site_occupancy
Ti1 0.0000 0.5000 0.2415 1
Ga1 0.0000 0.0000 0.5000 1
Rh1 0.5000 0.5000 0.0000 1
# N(E_F) = 6.6 states/eV per cell
# formation energy from the elements = -0.10 eV per atom

---

[7]
# PBE Ti5Ga2Rh2, relaxed
data_Ti5Ga2Rh2
_chemical_formula_sum 'Ti20 Ga8 Rh8'
_cell_length_a 13.1772
_cell_length_b 7.6201
_cell_length_c 6.0931
_cell_angle_alpha 90.00
_cell_angle_beta 90.00
_cell_angle_gamma 90.00
_space_group_name_H-M_alt 'C m c e'
_space_group_IT_number 64
_space_group_name_Hall '-C 2ac 2'
loop_
_atom_site_label
_atom_site_fract_x
_atom_site_fract_y
_atom_site_fract_z
_atom_site_occupancy
Ti1 0.0000 0.0000 0.0000 1
Ti2 0.1313 0.1895 0.3398 1
Ga1 0.2134 0.0000 0.0000 1
Rh1 0.0000 0.1331 0.6352 1
# N(E_F) = 39.8 states/eV per cell
# formation energy from the elements = -0.38 eV per atom

---

[8]
# PBE Ti6Ga5Rh, relaxed
data_Ti6Ga5Rh
_chemical_formula_sum 'Ti12 Ga10 Rh2'
_cell_length_a 3.9178
_cell_length_b 7.9019
_cell_length_c 12.0505
_cell_angle_alpha 90.00
_cell_angle_beta 90.00
_cell_angle_gamma 90.00
_space_group_name_H-M_alt 'I m m m'
_space_group_IT_number 71
_space_group_name_Hall '-I 2 2'
loop_
_atom_site_label
_atom_site_fract_x
_atom_site_fract_y
_atom_site_fract_z
_atom_site_occupancy
Ti1 0.0000 0.2455 0.0000 1
Ti2 0.0000 0.2505 0.3326 1
Ga1 0.0000 0.0000 0.1624 1
Ga2 0.0000 0.0000 0.5000 1
Ga3 0.0000 0.5000 0.1645 1
Rh1 0.0000 0.5000 0.5000 1
# N(E_F) = 22.8 states/eV per cell
# formation energy from the elements = -0.51 eV per atom

---

[9]
# PBE Ti3Ga2Rh3, relaxed
data_Ti3Ga2Rh3
_chemical_formula_sum 'Ti9 Ga6 Rh9'
_cell_length_a 4.3623
_cell_length_b 4.3623
_cell_length_c 21.4915
_cell_angle_alpha 90.00
_cell_angle_beta 90.00
_cell_angle_gamma 120.00
_space_group_name_H-M_alt 'R 3 m'
_space_group_IT_number 160
_space_group_name_Hall 'R 3 -2"'
loop_
_atom_site_label
_atom_site_fract_x
_atom_site_fract_y
_atom_site_fract_z
_atom_site_occupancy
Ti1 0.0000 0.0000 0.0000 1
Ti2 0.0000 0.0000 0.1266 1
Ti3 0.0000 0.0000 0.6222 1
Ga1 0.0000 0.0000 0.3761 1
Ga2 0.0000 0.0000 0.8726 1
Rh1 0.0000 0.0000 0.2498 1
Rh2 0.0000 0.0000 0.4985 1
Rh3 0.0000 0.0000 0.7490 1
# N(E_F) = 15.0 states/eV per cell
# formation energy from the elements = -0.72 eV per atom

---

[10]
# PBE Ti5GaRh4, relaxed
data_Ti5GaRh4
_chemical_formula_sum 'Ti5 Ga1 Rh4'
_cell_length_a 3.2015
_cell_length_b 3.2015
_cell_length_c 14.8161
_cell_angle_alpha 90.00
_cell_angle_beta 90.00
_cell_angle_gamma 90.00
_space_group_name_H-M_alt 'P 4/m m m'
_space_group_IT_number 123
_space_group_name_Hall '-P 4 2'
loop_
_atom_site_label
_atom_site_fract_x
_atom_site_fract_y
_atom_site_fract_z
_atom_site_occupancy
Ti1 0.0000 0.0000 0.0000 1
Ti2 0.0000 0.0000 0.1986 1
Ti3 0.0000 0.0000 0.3960 1
Ga1 0.5000 0.5000 0.5000 1
Rh1 0.5000 0.5000 0.0997 1
Rh2 0.5000 0.5000 0.2999 1
# N(E_F) = 11.6 states/eV per cell
# formation energy from the elements = -0.66 eV per atom

---

[11]
# PBE TiGa2Rh, relaxed
data_TiGa2Rh
_chemical_formula_sum 'Ti1 Ga2 Rh1'
_cell_length_a 2.9851
_cell_length_b 2.9851
_cell_length_c 6.7223
_cell_angle_alpha 90.00
_cell_angle_beta 90.00
_cell_angle_gamma 90.00
_space_group_name_H-M_alt 'P 4/m m m'
_space_group_IT_number 123
_space_group_name_Hall '-P 4 2'
loop_
_atom_site_label
_atom_site_fract_x
_atom_site_fract_y
_atom_site_fract_z
_atom_site_occupancy
Ti1 0.0000 0.0000 0.0000 1
Ga1 0.5000 0.5000 0.2698 1
Rh1 0.0000 0.0000 0.5000 1
# N(E_F) = 3.3 states/eV per cell
# formation energy from the elements = -0.54 eV per atom

---

[12]
# PBE Ti6GaRh5, relaxed
data_Ti6GaRh5
_chemical_formula_sum 'Ti12 Ga2 Rh10'
_cell_length_a 4.1152
_cell_length_b 7.1045
_cell_length_c 12.3850
_cell_angle_alpha 90.00
_cell_angle_beta 90.00
_cell_angle_gamma 90.00
_space_group_name_H-M_alt 'I m m m'
_space_group_IT_number 71
_space_group_name_Hall '-I 2 2'
loop_
_atom_site_label
_atom_site_fract_x
_atom_site_fract_y
_atom_site_fract_z
_atom_site_occupancy
Ti1 0.0000 0.2415 0.0000 1
Ti2 0.0000 0.2547 0.3324 1
Ga1 0.0000 0.0000 0.5000 1
Rh1 0.0000 0.0000 0.1703 1
Rh2 0.0000 0.5000 0.1610 1
Rh3 0.0000 0.5000 0.5000 1
# N(E_F) = 24.8 states/eV per cell
# formation energy from the elements = -0.68 eV per atom

---

[13]
# PBE Ti5Ga5Rh, relaxed
data_Ti5Ga5Rh
_chemical_formula_sum 'Ti10 Ga10 Rh2'
_cell_length_a 4.5580
_cell_length_b 13.7505
_cell_length_c 5.8739
_cell_angle_alpha 90.00
_cell_angle_beta 90.00
_cell_angle_gamma 90.00
_space_group_name_H-M_alt 'C m m m'
_space_group_IT_number 65
_space_group_name_Hall '-C 2 2'
loop_
_atom_site_label
_atom_site_fract_x
_atom_site_fract_y
_atom_site_fract_z
_atom_site_occupancy
Ti1 0.0000 0.0000 0.0000 1
Ti2 0.0000 0.3602 0.2251 1
Ga1 0.0000 0.1878 0.5000 1
Ga2 0.0000 0.1890 0.0000 1
Ga3 0.0000 0.5000 0.5000 1
Rh1 0.0000 0.0000 0.5000 1
# N(E_F) = 11.6 states/eV per cell
# formation energy from the elements = -0.24 eV per atom

---

[14]
# PBE Ti3Ga2Rh, relaxed
data_Ti3Ga2Rh
_chemical_formula_sum 'Ti3 Ga2 Rh1'
_cell_length_a 2.8786
_cell_length_b 2.8786
_cell_length_c 11.2818
_cell_angle_alpha 90.00
_cell_angle_beta 90.00
_cell_angle_gamma 90.00
_space_group_name_H-M_alt 'P 4/m m m'
_space_group_IT_number 123
_space_group_name_Hall '-P 4 2'
loop_
_atom_site_label
_atom_site_fract_x
_atom_site_fract_y
_atom_site_fract_z
_atom_site_occupancy
Ti1 0.0000 0.0000 0.0000 1
Ti2 0.0000 0.0000 0.3443 1
Ga1 0.5000 0.5000 0.1713 1
Rh1 0.5000 0.5000 0.5000 1
# N(E_F) = 7.2 states/eV per cell
# formation energy from the elements = -0.54 eV per atom

---

[15]
# PBE TiGa3Rh, relaxed
data_TiGa3Rh
_chemical_formula_sum 'Ti2 Ga6 Rh2'
_cell_length_a 4.1326
_cell_length_b 6.1986
_cell_length_c 6.5235
_cell_angle_alpha 90.00
_cell_angle_beta 90.00
_cell_angle_gamma 90.00
_space_group_name_H-M_alt 'P m m n'
_space_group_IT_number 59
loop_
_space_group_symop_operation_xyz
'x,y,z'
'-x,-y,-z'
'-x+1/2,-y+1/2,z'
'x+1/2,y+1/2,-z'
'x+1/2,-y,-z'
'-x+1/2,y,z'
'-x,y+1/2,-z'
'x,-y+1/2,z'
loop_
_atom_site_label
_atom_site_fract_x
_atom_site_fract_y
_atom_site_fract_z
_atom_site_occupancy
Ti1 0.2500 0.2500 0.1841 1
Ga1 0.2500 0.0316 0.7945 1
Ga2 0.2500 0.7500 0.4831 1
Rh1 0.2500 0.7500 0.1000 1
# N(E_F) = 10.7 states/eV per cell
# energy above the most stable polymorph in this dataset = 0.751 eV/f.u.
# formation energy from the elements = -0.35 eV per atom

---

[16]
# PBE Ti2Ga2Rh3, relaxed
data_Ti2Ga2Rh3
_chemical_formula_sum 'Ti4 Ga4 Rh6'
_cell_length_a 7.5149
_cell_length_b 4.3322
_cell_length_c 7.2470
_cell_angle_alpha 90.00
_cell_angle_beta 110.54
_cell_angle_gamma 90.00
_space_group_name_H-M_alt 'C 1 2/m 1'
_space_group_IT_number 12
loop_
_space_group_symop_operation_xyz
'x,y,z'
'-x,-y,-z'
'-x,y,-z'
'x,-y,z'
'x+1/2,y+1/2,z'
'-x+1/2,-y+1/2,-z'
'-x+1/2,y+1/2,-z'
'x+1/2,-y+1/2,z'
loop_
_atom_site_label
_atom_site_fract_x
_atom_site_fract_y
_atom_site_fract_z
_atom_site_occupancy
Ti1 0.1144 0.0000 0.3457 1
Ga1 0.1309 0.5000 0.8889 1
Rh1 0.0000 0.5000 0.5000 1
Rh2 0.2457 0.0000 0.7340 1
# N(E_F) = 4.9 states/eV per cell
# formation energy from the elements = -0.72 eV per atom

---

[17]
# PBE Ti8Ga2Rh, relaxed
data_Ti8Ga2Rh
_chemical_formula_sum 'Ti16 Ga4 Rh2'
_cell_length_a 13.7526
_cell_length_b 4.3829
_cell_length_c 6.6660
_cell_angle_alpha 90.00
_cell_angle_beta 115.55
_cell_angle_gamma 90.00
_space_group_name_H-M_alt 'C 1 2/m 1'
_space_group_IT_number 12
loop_
_space_group_symop_operation_xyz
'x,y,z'
'-x,-y,-z'
'-x,y,-z'
'x,-y,z'
'x+1/2,y+1/2,z'
'-x+1/2,-y+1/2,-z'
'-x+1/2,y+1/2,-z'
'x+1/2,-y+1/2,z'
loop_
_atom_site_label
_atom_site_fract_x
_atom_site_fract_y
_atom_site_fract_z
_atom_site_occupancy
Ti1 0.0255 0.0000 0.2728 1
Ti2 0.0919 0.5000 0.9363 1
Ti3 0.1668 0.5000 0.4120 1
Ti4 0.1743 0.0000 0.7415 1
Ga1 0.1914 0.0000 0.1566 1
Rh1 0.0000 0.5000 0.5000 1
# N(E_F) = 27.9 states/eV per cell
# formation energy from the elements = -0.29 eV per atom

---

[18]
# PBE TiGa2Rh, relaxed
data_TiGa2Rh
_chemical_formula_sum 'Ti4 Ga8 Rh4'
_cell_length_a 7.0302
_cell_length_b 7.0302
_cell_length_c 5.3459
_cell_angle_alpha 90.00
_cell_angle_beta 90.00
_cell_angle_gamma 90.00
_space_group_name_H-M_alt 'I -4 2 d'
_space_group_IT_number 122
_space_group_name_Hall 'I -4 2bw'
loop_
_atom_site_label
_atom_site_fract_x
_atom_site_fract_y
_atom_site_fract_z
_atom_site_occupancy
Ti1 0.0000 0.0000 0.0000 1
Ga1 0.2305 0.2500 0.6250 1
Rh1 0.0000 0.0000 0.5000 1
# N(E_F) = 12.1 states/eV per cell
# formation energy from the elements = -0.25 eV per atom

---

[19]
# PBE Ti6Ga16Rh7, relaxed
data_Ti6Ga16Rh7
_chemical_formula_sum 'Ti24 Ga64 Rh28'
_cell_length_a 12.1819
_cell_length_b 12.1819
_cell_length_c 12.1819
_cell_angle_alpha 90.00
_cell_angle_beta 90.00
_cell_angle_gamma 90.00
_space_group_name_H-M_alt 'F m -3 m'
_space_group_IT_number 225
_space_group_name_Hall '-F 4 2 3'
loop_
_atom_site_label
_atom_site_fract_x
_atom_site_fract_y
_atom_site_fract_z
_atom_site_occupancy
Ti1 0.0000 0.0000 0.1978 1
Ga1 0.1232 0.1232 0.3768 1
Ga2 0.1480 0.1480 0.1480 1
Rh1 0.0000 0.0000 0.5000 1
Rh2 0.0000 0.2500 0.2500 1
# N(E_F) = 79.1 states/eV per cell
# formation energy from the elements = -0.55 eV per atom

---

[20]
# PBE TiGaRh6, relaxed
data_TiGaRh6
_chemical_formula_sum 'Ti1 Ga1 Rh6'
_cell_length_a 5.4548
_cell_length_b 5.4548
_cell_length_c 3.8360
_cell_angle_alpha 90.00
_cell_angle_beta 90.00
_cell_angle_gamma 90.00
_space_group_name_H-M_alt 'P 4/m m m'
_space_group_IT_number 123
_space_group_name_Hall '-P 4 2'
loop_
_atom_site_label
_atom_site_fract_x
_atom_site_fract_y
_atom_site_fract_z
_atom_site_occupancy
Ti1 0.0000 0.0000 0.0000 1
Ga1 0.5000 0.5000 0.0000 1
Rh1 0.0000 0.5000 0.0000 1
Rh2 0.2511 0.2511 0.5000 1
# N(E_F) = 7.2 states/eV per cell
# formation energy from the elements = -0.47 eV per atom

---

[21]
# PBE Ti6GaRh, relaxed
data_Ti6GaRh
_chemical_formula_sum 'Ti12 Ga2 Rh2'
_cell_length_a 4.4887
_cell_length_b 6.2875
_cell_length_c 9.2426
_cell_angle_alpha 90.00
_cell_angle_beta 90.00
_cell_angle_gamma 90.00
_space_group_name_H-M_alt 'A m m 2'
_space_group_IT_number 38
loop_
_space_group_symop_operation_xyz
'x,y,z'
'-x,-y,z'
'-x,y,z'
'x,-y,z'
'x,y+1/2,z+1/2'
'-x,-y+1/2,z+1/2'
'-x,y+1/2,z+1/2'
'x,-y+1/2,z+1/2'
loop_
_atom_site_label
_atom_site_fract_x
_atom_site_fract_y
_atom_site_fract_z
_atom_site_occupancy
Ti1 0.0000 0.0000 0.0000 1
Ti2 0.0000 0.2207 0.2857 1
Ti3 0.5000 0.0000 0.7860 1
Ti4 0.5000 0.2414 0.5158 1
Ga1 0.0000 0.0000 0.5589 1
Rh1 0.5000 0.0000 0.2463 1
# N(E_F) = 16.8 states/eV per cell
# energy above the most stable polymorph in this dataset = 0.000 eV/f.u.
# formation energy from the elements = -0.31 eV per atom